one) The following is a PBE-GGA calculation of an optimized crystal structure of CsTbDyTe3, from OQMD.

It has space group Cmcm (No. 63), with a = 4.782 Å, b = 17.543 Å, c = 11.844 Å, α = 90.00°, β = 90.00° and γ = 90.00°. The inequivalent atoms are Cs at (0.000, 0.245, 0.250), Tb at (0.000, 0.032, 0.750), Dy at (0.000, 0.500, 0.000), Te at (0.000, 0.119, 0.539) and Te at (0.000, 0.434, 0.750).



two) The following is a PBE-GGA calculation of an optimized crystal structure of CsTbDyTe3, from OQMD.

It has space group Cmcm (No. 63), with a = 4.772 Å, b = 17.508 Å, c = 11.909 Å, α = 90.00°, β = 90.00° and γ = 90.00°. The inequivalent atoms are Cs at (0.000, 0.245, 0.250), Tb at (0.000, 0.500, 0.000), Dy at (0.000, 0.033, 0.750), Te at (0.000, 0.120, 0.541) and Te at (0.000, 0.435, 0.750).



Relative calculated energies, zero for the most stable structure, unit meV per atom: one) 8; two) 0.



one) The following is a PBE-GGA calculation of an optimized crystal structure of CsDyTh, from OQMD.

It has space group F-43m (No. 216), with a = 7.767 Å, b = 7.767 Å, c = 7.767 Å, α = 90.00°, β = 90.00° and γ = 90.00°. The inequivalent atoms are Cs at (0.000, 0.000, 0.000), Dy at (0.250, 0.250, 0.750) and Th at (0.250, 0.250, 0.250).



two) The following is a PBE-GGA calculation of an optimized crystal structure of CsDyTh, from OQMD.

It has space group F-43m (No. 216), with a = 8.259 Å, b = 8.259 Å, c = 8.259 Å, α = 90.00°, β = 90.00° and γ = 90.00°. The inequivalent atoms are Cs at (0.000, 0.000, 0.000), Dy at (0.250, 0.250, 0.250) and Th at (0.000, 0.000, 0.500).



Relative calculated energies, zero for the most stable structure, unit meV per atom: one) 12; two) 0.



one) The following is a PBE-GGA calculation of an optimized crystal structure of CsDyU, from OQMD.

It has space group F-43m (No. 216), with a = 8.185 Å, b = 8.185 Å, c = 8.185 Å, α = 90.00°, β = 90.00° and γ = 90.00°. The inequivalent atoms are Cs at (0.000, 0.000, 0.000), Dy at (0.000, 0.000, 0.500) and U at (0.250, 0.250, 0.750).



two) The following is a PBE-GGA calculation of an optimized crystal structure of CsDyU, from OQMD.

It has space group F-43m (No. 216), with a = 7.587 Å, b = 7.587 Å, c = 7.587 Å, α = 90.00°, β = 90.00° and γ = 90.00°. The inequivalent atoms are Cs at (0.000, 0.000, 0.000), Dy at (0.250, 0.250, 0.750) and U at (0.250, 0.250, 0.250).



Relative calculated energies, zero for the most stable structure, unit meV per atom: one) 0; two) 77.



one) The following is a PBE-GGA calculation of an optimized crystal structure of CsErFeTe3, from OQMD.

It has space group Pnma (No. 62), with a = 11.476 Å, b = 4.374 Å, c = 17.337 Å, α = 90.00°, β = 90.00° and γ = 90.00°. The inequivalent atoms are Cs at (0.248, 0.250, 0.006), Er at (0.002, 0.750, 0.250), Fe at (0.248, 0.750, 0.783), Te at (0.059, 0.750, 0.868), Te at (0.062, 0.250, 0.368) and Te at (0.248, 0.250, 0.692).



two) The following is a PBE-GGA calculation of an optimized crystal structure of CsErFeTe3, from OQMD.

It has space group Pnma (No. 62), with a = 11.607 Å, b = 4.487 Å, c = 15.799 Å, α = 90.00°, β = 90.00° and γ = 90.00°. The inequivalent atoms are Cs at (0.249, 0.250, 0.004), Er at (0.007, 0.750, 0.248), Fe at (0.244, 0.750, 0.786), Te at (0.054, 0.750, 0.876), Te at (0.063, 0.250, 0.373) and Te at (0.243, 0.250, 0.692).



Relative calculated energies, zero for the most stable structure, unit meV per atom: one) 0; two) 23.



one) The following is a PBE-GGA calculation of an optimized crystal structure of CsErFeTe3, from OQMD.

It has space group Cmcm (No. 63), with a = 4.367 Å, b = 17.218 Å, c = 11.428 Å, α = 90.00°, β = 90.00° and γ = 90.00°. The inequivalent atoms are Cs at (0.000, 0.245, 0.250), Er at (0.000, 0.500, 0.000), Fe at (0.000, 0.033, 0.750), Te at (0.000, 0.118, 0.560) and Te at (0.000, 0.441, 0.750).



two) The following is a PBE-GGA calculation of an optimized crystal structure of CsErFeTe3, from OQMD.

It has space group P2_1/m (No. 11), with a = 9.895 Å, b = 4.319 Å, c = 11.416 Å, α = 90.00°, β = 113.97° and γ = 90.00°. The inequivalent atoms are Cs at (0.248, 0.250, 0.280), Er at (0.326, 0.750, 0.856), Fe at (0.066, 0.250, 0.580), Te at (0.095, 0.250, 0.822), Te at (0.221, 0.750, 0.557) and Te at (0.457, 0.750, 0.144).



Relative calculated energies, zero for the most stable structure, unit meV per atom: one) 8; two) 0.



one) The following is a PBE-GGA calculation of an optimized crystal structure of CsErFeTe3, from OQMD.

It has space group C2/m (No. 12), with a = 18.614 Å, b = 4.576 Å, c = 9.901 Å, α = 90.00°, β = 101.24° and γ = 90.00°. The inequivalent atoms are Cs at (0.155, 0.000, 0.064), Er at (0.166, 0.000, 0.573), Fe at (0.002, 0.500, 0.277), Te at (0.000, 0.000, 0.500), Te at (0.000, 0.500, 0.000), Te at (0.148, 0.500, 0.765) and Te at (0.163, 0.500, 0.361).



two) The following is a PBE-GGA calculation of an optimized crystal structure of CsErFeTe3, from OQMD.

It has space group Pnma (No. 62), with a = 11.415 Å, b = 4.493 Å, c = 16.318 Å, α = 90.00°, β = 90.00° and γ = 90.00°. The inequivalent atoms are Cs at (0.034, 0.250, 0.165), Er at (0.151, 0.750, 0.437), Fe at (0.153, 0.250, 0.628), Te at (0.027, 0.750, 0.609), Te at (0.196, 0.750, 0.007) and Te at (0.231, 0.250, 0.775).



Relative calculated energies, zero for the most stable structure, unit meV per atom: one) 146; two) 0.



one) The following is a PBE-GGA calculation of an optimized crystal structure of CsGdEr, from OQMD.

It has space group F-43m (No. 216), with a = 8.557 Å, b = 8.557 Å, c = 8.557 Å, α = 90.00°, β = 90.00° and γ = 90.00°. The inequivalent atoms are Cs at (0.000, 0.000, 0.000), Gd at (0.000, 0.000, 0.500) and Er at (0.250, 0.250, 0.250).



two) The following is a PBE-GGA calculation of an optimized crystal structure of CsGdEr, from OQMD.

It has space group F-43m (No. 216), with a = 7.840 Å, b = 7.840 Å, c = 7.840 Å, α = 90.00°, β = 90.00° and γ = 90.00°. The inequivalent atoms are Cs at (0.000, 0.000, 0.000), Gd at (0.250, 0.250, 0.750) and Er at (0.250, 0.250, 0.250).



Relative calculated energies, zero for the most stable structure, unit meV per atom: one) 0; two) 13.



one) The following is a PBE-GGA calculation of an optimized crystal structure of CsErGeSe3, from OQMD.

It has space group Cmcm (No. 63), with a = 4.111 Å, b = 16.323 Å, c = 11.760 Å, α = 90.00°, β = 90.00° and γ = 90.00°. The inequivalent atoms are Cs at (0.000, 0.221, 0.250), Er at (0.000, 0.500, 0.000), Ge at (0.000, 0.084, 0.750), Se at (0.000, 0.118, 0.520) and Se at (0.000, 0.483, 0.750).



two) The following is a PBE-GGA calculation of an optimized crystal structure of CsErGeSe3, from OQMD.

It has space group P2_1/m (No. 11), with a = 9.231 Å, b = 4.075 Å, c = 11.485 Å, α = 90.00°, β = 112.13° and γ = 90.00°. The inequivalent atoms are Cs at (0.227, 0.250, 0.273), Er at (0.369, 0.750, 0.846), Ge at (0.129, 0.250, 0.564), Se at (0.130, 0.250, 0.781), Se at (0.323, 0.750, 0.584) and Se at (0.402, 0.750, 0.100).



Relative calculated energies, zero for the most stable structure, unit meV per atom: one) 118; two) 0.



one) The following is a PBE-GGA calculation of an optimized crystal structure of CsErLu, from OQMD.

It has space group F-43m (No. 216), with a = 8.302 Å, b = 8.302 Å, c = 8.302 Å, α = 90.00°, β = 90.00° and γ = 90.00°. The inequivalent atoms are Cs at (0.000, 0.000, 0.000), Er at (0.250, 0.250, 0.250) and Lu at (0.000, 0.000, 0.500).



two) The following is a PBE-GGA calculation of an optimized crystal structure of CsErLu, from OQMD.

It has space group F-43m (No. 216), with a = 7.792 Å, b = 7.792 Å, c = 7.792 Å, α = 90.00°, β = 90.00° and γ = 90.00°. The inequivalent atoms are Cs at (0.000, 0.000, 0.000), Er at (0.250, 0.250, 0.250) and Lu at (0.250, 0.250, 0.750).



Relative calculated energies, zero for the most stable structure, unit meV per atom: one) 0; two) 19.



one) The following is a PBE-GGA calculation of an optimized crystal structure of CsErLuTe3, from OQMD.

It has space group Cmcm (No. 63), with a = 4.607 Å, b = 17.579 Å, c = 11.808 Å, α = 90.00°, β = 90.00° and γ = 90.00°. The inequivalent atoms are Cs at (0.000, 0.245, 0.250), Er at (0.000, 0.500, 0.000), Lu at (0.000, 0.036, 0.750), Te at (0.000, 0.120, 0.543) and Te at (0.000, 0.436, 0.750).



two) The following is a PBE-GGA calculation of an optimized crystal structure of CsErLuTe3, from OQMD.

It has space group Cmcm (No. 63), with a = 4.619 Å, b = 17.645 Å, c = 11.777 Å, α = 90.00°, β = 90.00° and γ = 90.00°. The inequivalent atoms are Cs at (0.000, 0.245, 0.250), Er at (0.000, 0.035, 0.750), Lu at (0.000, 0.500, 0.000), Te at (0.000, 0.118, 0.538) and Te at (0.000, 0.435, 0.750).



Relative calculated energies, zero for the most stable structure, unit meV per atom: one) 0; two) 24.



one) The following is a PBE-GGA calculation of an optimized crystal structure of CsErNiS3, from OQMD.

It has space group P2_1/m (No. 11), with a = 9.366 Å, b = 3.928 Å, c = 9.603 Å, α = 90.00°, β = 112.10° and γ = 90.00°. The inequivalent atoms are Cs at (0.212, 0.250, 0.242), Er at (0.331, 0.750, 0.860), Ni at (0.078, 0.250, 0.597), S at (0.127, 0.250, 0.849), S at (0.171, 0.750, 0.548) and S at (0.476, 0.750, 0.159).



two) The following is a PBE-GGA calculation of an optimized crystal structure of CsErNiS3, from OQMD.

It has space group Cmcm (No. 63), with a = 3.947 Å, b = 15.422 Å, c = 10.373 Å, α = 90.00°, β = 90.00° and γ = 90.00°. The inequivalent atoms are Cs at (0.000, 0.240, 0.250), Er at (0.000, 0.500, 0.000), Ni at (0.000, 0.032, 0.750), S at (0.000, 0.111, 0.566) and S at (0.000, 0.454, 0.750).



Relative calculated energies, zero for the most stable structure, unit meV per atom: one) 0; two) 16.